1.
Below is a geometry-optimized LiDySe2 structure, with properties calculated at the GGA-PBE level.

extended XYZ file:
```
8
Lattice="-3.0961 3.0961 6.1430 3.0961 -3.0961 6.1430 3.0961 3.0961 -6.1430" Properties=species:S:1:pos:R:3 pbc="T T T"
Se 1.5481 1.4562 4.6072
Se 1.5481 1.6399 -1.5357
Se 4.5523 1.5481 1.5357
Se -1.4562 1.5481 7.6787
Li 0.0000 0.0000 6.1430
Li 3.0961 0.0000 3.0715
Dy 0.0000 3.0961 3.0715
Dy 0.0000 0.0000 0.0000
```

Calculated values
V, Å³ per atom: 29.44
VASP energy, eV/atom: -4.867
Total moment, μB per cell: 0.00



2.
Below is a geometry-optimized SrLiDySe3 structure, with properties calculated at the GGA-PBE level.

extended XYZ file:
```
24
Lattice="13.8363 0.0000 0.0000 0.0000 4.1585 0.0000 0.0000 0.0000 10.8489" Properties=species:S:1:pos:R:3 pbc="T T T"
Li 13.7521 3.1189 0.9737
Li 6.8340 3.1189 4.4507
Li 7.0023 1.0396 6.3981
Li 0.0842 1.0396 9.8752
Se 11.8700 3.1189 2.6802
Se 5.4248 1.0396 10.0954
Se 8.8844 1.0396 8.1046
Se 12.3429 1.0396 6.1779
Se 8.2767 1.0396 4.1964
Se 8.4114 3.1189 0.7535
Se 1.4933 3.1189 4.6710
Se 5.5595 3.1189 6.6525
Se 1.9663 1.0396 8.1687
Se 4.9519 3.1189 2.7442
Se 1.3586 1.0396 1.2280
Se 12.4776 3.1189 9.6208
Sr 3.7867 1.0396 5.0723
Sr 10.0496 3.1189 5.7766
Sr 3.1314 3.1189 10.4967
Sr 10.7048 1.0396 0.3522
Dy 7.1480 3.1189 9.0357
Dy 13.6064 1.0396 3.6113
Dy 6.6882 1.0396 1.8131
Dy 0.2299 3.1189 7.2376
```

Calculated values
V, Å³ per atom: 26.01
VASP energy, eV/atom: -4.890
Total moment, μB per cell: 0.01
Offset from the most stable computed form, meV/atom: 29



3.
Below is a geometry-optimized SrLiDySe3 structure, with properties calculated at the GGA-PBE level.

extended XYZ file:
```
12
Lattice="2.0817 -6.7959 0.0000 2.0817 6.7959 0.0000 0.0000 0.0000 10.6985" Properties=species:S:1:pos:R:3 pbc="T T T"
Se 2.0817 1.8597 0.7027
Se 2.0817 -1.8597 9.9958
Se 2.0817 -1.8597 6.0519
Se 2.0817 5.7103 2.6746
Se 2.0817 1.8597 4.6466
Se 2.0817 -5.7103 8.0239
Li 2.0817 0.3216 2.6746
Li 2.0817 -0.3216 8.0239
Sr 2.0817 -3.4179 2.6746
Sr 2.0817 3.4179 8.0239
Dy 0.0000 0.0000 0.0000
Dy 0.0000 0.0000 5.3493
```

Calculated values
V, Å³ per atom: 25.22
VASP energy, eV/atom: -4.906
Total moment, μB per cell: 0.00
Offset from the most stable computed form, meV/atom: 12



4.
Below is a geometry-optimized SrLiDySe3 structure, with properties calculated at the GGA-PBE level.

extended XYZ file:
```
12
Lattice="-8.2680 3.7802 0.6001 -9.0717 -0.2706 0.8005 2.8088 -0.1520 8.1903" Properties=species:S:1:pos:R:3 pbc="T T T"
Li -8.2485 1.7539 2.3713
Li -6.2823 1.6037 7.2196
Sr -13.8073 2.9755 4.7696
Sr -0.7235 0.3822 4.8213
Se 0.0000 0.0000 0.0000
Se -5.3645 1.1456 1.6413
Se -9.1663 2.2121 7.9496
Se -3.7057 1.0346 6.0490
Se -10.8251 2.3230 3.5419
Se -7.2654 1.6788 4.7954
Dy -11.8991 2.7889 8.6490
Dy -2.6318 0.5688 0.9419
```

Calculated values
V, Å³ per atom: 25.66
VASP energy, eV/atom: -4.918
Total moment, μB per cell: 0.00
Offset from the most stable computed form, meV/atom: 0



5.
Below is a geometry-optimized Li4DySi2 structure, with properties calculated at the GGA-PBE level.

extended XYZ file:
```
7
Lattice="4.1889 3.6517 3.0474 -5.0180 1.1280 -3.7036 -2.7692 0.0363 3.7630" Properties=species:S:1:pos:R:3 pbc="T T T"
Li 1.5997 2.9420 1.1489
Li -1.3846 0.0182 1.8815
Li -2.4288 1.8377 -1.8051
Li -0.4145 2.3898 -0.3281
Si -2.7516 2.1469 0.8550
Si -0.8466 2.6691 2.2518
Dy 0.0000 0.0000 0.0000
```

Calculated values
V, Å³ per atom: 19.10
VASP energy, eV/atom: -2.804
Total moment, μB per cell: 0.75



6.
Below is a geometry-optimized LiDySi2 structure, with properties calculated at the GGA-PBE level.

extended XYZ file:
```
16
Lattice="6.6057 0.0000 0.0000 0.0000 4.0999 0.0000 0.0000 0.0000 10.7379" Properties=species:S:1:pos:R:3 pbc="T T T"
Li 5.6906 1.0250 5.9543
Li 4.2180 3.0749 0.5854
Li 0.9151 3.0749 4.7835
Li 2.3877 1.0250 10.1525
Si 1.1570 3.0749 9.3084
Si 0.1940 3.0749 7.1587
Si 4.4599 3.0749 6.7985
Si 2.1458 1.0250 3.9394
Si 6.4117 1.0250 3.5792
Si 5.4487 1.0250 1.4295
Si 3.4968 3.0749 8.9481
Si 3.1089 1.0250 1.7898
Dy 2.3231 1.0250 7.0430
Dy 4.2826 3.0749 3.6949
Dy 0.9798 3.0749 1.6740
Dy 5.6259 1.0250 9.0638
```

Calculated values
V, Å³ per atom: 18.18
VASP energy, eV/atom: -4.912
Total moment, μB per cell: 0.00



7.
Below is a geometry-optimized Li3Dy3SiSn2 structure, with properties calculated at the GGA-PBE level.

extended XYZ file:
```
9
Lattice="-0.1859 -6.7407 2.6877 2.7833 1.2021 -6.5957 4.0228 0.6103 1.8088" Properties=species:S:1:pos:R:3 pbc="T T T"
Li 2.6353 0.5746 -0.5741
Li 1.9697 -1.2059 1.5069
Li 4.0265 -3.9919 -2.1276
Dy 1.6501 0.7127 -3.9104
Dy 1.0575 -2.2549 -1.5911
Dy -0.1102 -3.9964 1.5934
Si 0.0000 0.0000 0.0000
Sn 2.8152 -3.7880 0.4976
Sn 3.8049 -1.1404 -2.5969
```

Calculated values
V, Å³ per atom: 22.58
VASP energy, eV/atom: -4.259
Total moment, μB per cell: 0.00



8.
Below is a geometry-optimized LiSmDy structure, with properties calculated at the GGA-PBE level.

extended XYZ file:
```
3
Lattice="0.0000 3.5861 3.5861 3.5861 0.0000 3.5861 3.5861 3.5861 0.0000" Properties=species:S:1:pos:R:3 pbc="T T T"
Dy 3.5861 3.5861 3.5861
Sm 0.0000 0.0000 0.0000
Li 1.7931 1.7931 1.7931
```

Calculated values
V, Å³ per atom: 30.74
VASP energy, eV/atom: -3.232
Total moment, μB per cell: 1.27
Offset from the most stable computed form, meV/atom: 0



9.
Below is a geometry-optimized Li3SmDy2Sn3 structure, with properties calculated at the GGA-PBE level.

extended XYZ file:
```
9
Lattice="-3.6739 -2.4470 1.6469 3.4148 -2.1985 -2.3882 5.4154 -1.8024 9.4025" Properties=species:S:1:pos:R:3 pbc="T T T"
Li 3.7596 -3.1826 3.6581
Li 3.0548 -3.8173 7.8820
Li -0.2614 -2.7135 2.1243
Dy 1.8292 -0.6088 3.1760
Dy 3.5862 -1.1936 6.2266
Sn 1.3967 -3.2654 5.0031
Sn 5.5050 -3.7635 6.6885
Sn 2.0142 -2.6016 0.6277
Sm 0.0000 0.0000 0.0000
```

Calculated values
V, Å³ per atom: 23.49
VASP energy, eV/atom: -4.139
Total moment, μB per cell: 0.10



10.
Below is a geometry-optimized Li3Tb2DySn3 structure, with properties calculated at the GGA-PBE level.

extended XYZ file:
```
9
Lattice="-1.4797 0.4881 -4.4698 -3.1013 -1.0500 3.4185 -1.6768 10.4885 1.7005" Properties=species:S:1:pos:R:3 pbc="T T T"
Tb -0.5613 3.5113 0.5693
Tb -1.1154 6.9772 1.1312
Sn -2.8586 5.2197 -0.9901
Sn -2.8473 1.2547 1.0796
Sn -3.9510 8.1592 2.1990
Li -3.3991 4.7069 1.6393
Li -3.3797 8.4789 -0.4617
Li -2.3376 1.9604 -1.5185
Dy 0.0000 0.0000 0.0000
```

Calculated values
V, Å³ per atom: 23.19
VASP energy, eV/atom: -4.126
Total moment, μB per cell: 0.00



11.
Below is a geometry-optimized Li3TbDy2Sn3 structure, with properties calculated at the GGA-PBE level.

extended XYZ file:
```
9
Lattice="-1.2393 -1.3320 4.3494 2.1088 -3.0671 -2.8936 9.6608 3.1386 3.7138" Properties=species:S:1:pos:R:3 pbc="T T T"
Dy 3.1189 -0.8571 3.1814
Dy 6.2954 0.1749 4.4025
Li 4.8304 1.5693 1.8569
Li 8.8207 0.0544 2.5299
Li 2.8256 -1.8933 0.2253
Sn 7.9941 2.5971 3.0730
Sn 5.8232 -0.9195 1.3776
Sn 1.6668 0.5415 0.6407
Tb -0.1232 -1.9103 1.9351
```

Calculated values
V, Å³ per atom: 23.13
VASP energy, eV/atom: -4.122
Total moment, μB per cell: 0.00



12.
Below is a geometry-optimized SrLiDy structure, with properties calculated at the GGA-PBE level.

extended XYZ file:
```
3
Lattice="-2.8819 0.2952 4.5610 -4.8109 2.4598 0.0015 -4.5218 -2.9097 0.5317" Properties=species:S:1:pos:R:3 pbc="T T T"
Li -3.0537 -0.0387 1.2736
Dy -6.1073 -0.0774 2.5471
Sr 0.0000 0.0000 0.0000
```

Calculated values
V, Å³ per atom: 37.18
VASP energy, eV/atom: -2.222
Total moment, μB per cell: 0.43